(1)
The following is a meta-GGA SCAN calculation of a crystal of LiCdRu2 relaxed with PBEsol, from Alexandria.

Its electronic total energy is -25.11 eV/atom. Its formation energy is 0.502 eV/atom.

The structure belongs to space group P4/mmm (No. 123); the cell edges are 2.609, 2.609 and 8.711 Å and the angles 90.00°, 90.00° and 90.00°. The inequivalent atoms are Li at (0.000, 0.000, 0.000), Cd at (0.000, 0.000, 0.500) and Ru at (0.500, 0.500, 0.240).


(2)
The following is a meta-GGA SCAN calculation of a crystal of Al2PPt relaxed with PBEsol, from Alexandria.

Its electronic total energy is -24.44 eV/atom. Its formation energy is -0.417 eV/atom.

The structure belongs to space group I4/mmm (No. 139); the cell edges are 4.026, 4.026 and 7.147 Å and the angles 90.00°, 90.00° and 90.00°. The inequivalent atoms are Al at (0.000, 0.500, 0.250), P at (0.000, 0.000, 0.000) and Pt at (0.000, 0.000, 0.500).


(3)
The following is a meta-GGA SCAN calculation of a crystal of Y3P2Rh2 relaxed with PBEsol, from Alexandria.

Its electronic total energy is -25.85 eV/atom. Its formation energy is -1.300 eV/atom.

The structure belongs to space group Pbcm (No. 57); the cell edges are 5.414, 7.140 and 13.465 Å and the angles 90.00°, 90.00° and 90.00°. The inequivalent atoms are Y at (0.126, 0.246, 0.250), Y at (0.369, 0.607, 0.598), P at (0.135, 0.534, 0.097), Rh at (0.130, 0.250, 0.000) and Rh at (0.374, 0.599, 0.250).


(4)
The following is a meta-GGA SCAN calculation of a crystal of SiSbTe2 relaxed with PBEsol, from Alexandria.

Its electronic total energy is -30.18 eV/atom. The calculation puts the excess energy over the best structure of this formula in the dataset at 0.000 eV per atom. As for the energy relative to the elements, uncorrected: 0.263 eV per atom.

The structure belongs to space group R-3m (No. 166, hexagonal axes); the cell edges are 3.7971, 3.7971 and 27.4313 Å and the angles 90.00°, 90.00° and 120.00°. The inequivalent atoms are Si at (0.0000, 0.0000, 0.0000), Sb at (0.0000, 0.0000, 0.5000) and Te at (0.0000, 0.0000, 0.3916).


(5)
The following is a meta-GGA SCAN calculation of a crystal of DyCrO4 relaxed with PBEsol, from Alexandria.

Its electronic total energy is -18.07 eV/atom. As for the energy relative to the elements, uncorrected: -2.889 eV per atom.

The structure belongs to space group I4_1/amd (No. 141, origin choice 2); the cell edges are 7.084, 7.084 and 6.190 Å and the angles 90.00°, 90.00° and 90.00°. The inequivalent atoms are Dy at (0.000, 0.250, 0.375), Cr at (0.000, 0.250, 0.875) and O at (0.000, 0.067, 0.699).


(6)
The following is a meta-GGA SCAN calculation of a crystal of CaLa2In relaxed with PBEsol, from Alexandria.

Its electronic total energy is -32.60 eV/atom. The calculation puts the excess energy over the best structure of this formula in the dataset at 0.060 eV per atom. Its formation energy is -0.289 eV/atom.

The structure belongs to space group Fm-3m (No. 225); the cell edges are 7.945, 7.945 and 7.945 Å and the angles 90.00°, 90.00° and 90.00°. The inequivalent atoms are Ca at (0.000, 0.000, 0.000), La at (0.250, 0.250, 0.250) and In at (0.000, 0.000, 0.500).


(7)
The following is a meta-GGA SCAN calculation of a crystal of AgSnSe2 relaxed with PBEsol, from Alexandria.

Its electronic total energy is -27.13 eV/atom. As for the energy relative to the elements, uncorrected: -0.273 eV per atom.

The structure belongs to space group R-3m (No. 166, hexagonal axes); the cell edges are 3.9970, 3.9970 and 19.2215 Å and the angles 90.00°, 90.00° and 120.00°. The inequivalent atoms are Ag at (0.0000, 0.0000, 0.0000), Sn at (0.0000, 0.0000, 0.5000) and Se at (0.0000, 0.0000, 0.2543).


(8)
The following is a meta-GGA SCAN calculation of a crystal of Be2SbP relaxed with PBEsol, from Alexandria.

Its electronic total energy is -14.04 eV/atom. As for the energy relative to the elements, uncorrected: 0.047 eV per atom.

The structure belongs to space group Pm (No. 6); the cell edges are 3.426, 3.426 and 5.544 Å and the angles 90.00°, 90.20° and 90.00°. The inequivalent atoms are Be at (0.000, 0.000, 0.000), Be at (0.500, 0.500, 0.000), Sb at (0.498, 0.000, 0.638) and P at (0.001, 0.500, 0.221).


Number 1: magnetization 2.30 μB/cell. Number 2: magnetization 0.00 μB/cell. Number 3: magnetization 0.00 μB/cell. Number 4: magnetization 0.00 μB/cell. Number 5: magnetization 4.00 μB/cell. Number 6: magnetization 0.00 μB/cell. Number 7: magnetization 0.00 μB/cell. Number 8: magnetization 0.00 μB/cell.